(1)
The following is a PBE-GGA calculation of an optimized crystal structure of AgHg2Pd2, from the Alexandria database. Values from VASP.

```
&SYSTEM
  ibrav = 0, nat = 10, ntyp = 3
/
ATOMIC_SPECIES
Ag 107.87 Ag.upf
Hg 200.59 Hg.upf
Pd 106.42 Pd.upf
ATOMIC_POSITIONS crystal
Ag 0.000 0.000 0.000
Ag 0.500 0.500 0.000
Hg 0.167 0.333 0.500
Hg 0.333 0.833 0.500
Hg 0.667 0.167 0.500
Hg 0.833 0.667 0.500
Pd 0.131 0.631 0.000
Pd 0.369 0.131 0.000
Pd 0.631 0.869 0.000
Pd 0.869 0.369 0.000
CELL_PARAMETERS angstrom
7.621 0.000 0.000
0.000 7.621 0.000
0.000 0.000 3.306
```



(2)
The following is a PBE-GGA calculation of an optimized crystal structure of Ag2HgPd2, from the Alexandria database. Values from VASP.

```
&SYSTEM
  ibrav = 0, nat = 5, ntyp = 3
/
ATOMIC_SPECIES
Ag 107.87 Ag.upf
Hg 200.59 Hg.upf
Pd 106.42 Pd.upf
ATOMIC_POSITIONS crystal
Ag 0.102 0.207 0.091
Ag 0.898 0.793 0.909
Hg 0.500 0.000 0.500
Pd 0.299 0.601 0.303
Pd 0.701 0.399 0.697
CELL_PARAMETERS angstrom
3.011 0.000 0.000
1.486 4.739 0.000
1.502 1.096 6.119
```



Number 1: density 12.48 g cm⁻³, uncorrected energy -2.817 eV/atom. Number 2: density 11.97 g cm⁻³, uncorrected energy -3.345 eV/atom.